1.
KPPb: relaxed, PBE.

The structure in CIF format:
```
data_KPPb
_chemical_formula_sum 'K4 P4 Pb4'
_symmetry_space_group_name_H-M 'F -4 3 m'
_symmetry_Int_Tables_number 216
_symmetry_space_group_name_Hall 'F -4 2 3'
_cell_length_a 7.3101
_cell_length_b 7.3101
_cell_length_c 7.3101
_cell_angle_alpha 90.00
_cell_angle_beta 90.00
_cell_angle_gamma 90.00
loop_
_atom_site_label
_atom_site_type_symbol
_atom_site_fract_x
_atom_site_fract_y
_atom_site_fract_z
K1 K 0.0000 0.0000 0.0000
P1 P 0.2500 0.2500 0.2500
Pb1 Pb 0.0000 0.0000 0.5000
```

=====

2.
Tb3AlSn3: relaxed, PBE.

The structure in CIF format:
```
data_Tb3AlSn3
_chemical_formula_sum 'Tb12 Al4 Sn12'
_symmetry_space_group_name_H-M 'C 1 2/m 1'
_symmetry_Int_Tables_number 12
_cell_length_a 11.4553
_cell_length_b 4.4547
_cell_length_c 14.9958
_cell_angle_alpha 90.00
_cell_angle_beta 107.65
_cell_angle_gamma 90.00
loop_
_symmetry_equiv_pos_as_xyz
'x,y,z'
'-x,-y,-z'
'-x,y,-z'
'x,-y,z'
'x+1/2,y+1/2,z'
'-x+1/2,-y+1/2,-z'
'-x+1/2,y+1/2,-z'
'x+1/2,-y+1/2,z'
loop_
_atom_site_label
_atom_site_type_symbol
_atom_site_fract_x
_atom_site_fract_y
_atom_site_fract_z
Tb1 Tb 0.0131 0.0000 0.3789
Tb2 Tb 0.1032 0.0000 0.9226
Tb3 Tb 0.2313 0.0000 0.2306
Al1 Al 0.2260 0.5000 0.3728
Sn1 Sn 0.0038 0.5000 0.2278
Sn2 Sn 0.1248 0.5000 0.0763
Sn3 Sn 0.1432 0.5000 0.5414
```

=====

| no. | calculated total energy (eV/cell) |
| --- | --- |
| 1 | -41.16 |
| 2 | -136.55 |